{
  "formula": "Ce2HoRhN4",
  "functional": "GGA-PBE",
  "state": "relaxed",
  "lattice_angstrom": [[-2.794, 1.804, -0.541], [-1.876, -5.720, 1.102], [-0.658, 2.435, 11.523]],
  "species": ["Ce", "Ce", "Ce", "Ce", "Ho", "Ho", "Rh", "Rh", "N", "N", "N", "N", "N", "N", "N", "N"],
  "frac_coords": [[0.370, 0.740, 0.554], [0.630, 0.260, 0.054], [0.630, 0.260, 0.446], [0.370, 0.740, 0.946], [0.116, 0.231, 0.750], [0.884, 0.769, 0.250], [0.853, 0.707, 0.750], [0.147, 0.293, 0.250], [0.277, 0.553, 0.124], [0.723, 0.447, 0.624], [0.723, 0.447, 0.876], [0.277, 0.553, 0.376], [0.000, 0.000, 0.500], [0.000, 0.000, 0.000], [0.465, 0.930, 0.750], [0.535, 0.070, 0.250]],
  "n_ef_per_ev_cell": 10.7,
  "raw_formation_energy_ev_per_atom": -1.03,
  "space_group": "Cmcm, No. 63",
  "e_tot_ev_per_atom": -8.170,
  "crystal_system": "orthorhombic"
}